(1)
First-principles (PBE-GGA) data for a relaxed MnFe2B4 crystal, as listed in the Alexandria database.

Results
The calculation puts the total DFT energy (no corrections) at -7.881 eV per atom. Its formation energy is -337 meV/atom. As for the crystal system: orthorhombic.

Lattice parameters (Å, degrees): 2.9144 2.9462 12.6897 90.00 90.00 90.00
Space group Immm (No. 71)
Unique sites:
1 Mn 0.0000 0.0000 0.0000
2 Fe 0.0000 0.5000 0.1858
3 B 0.0000 0.0000 0.4325
4 B 0.0000 0.5000 0.3558

***

(2)
First-principles (PBE-GGA) data for a relaxed NbTlSn2 crystal, as listed in the Alexandria database.

Results
The calculation puts the total DFT energy (no corrections) at -4.588 eV per atom. Its formation energy is 523 meV/atom. For the energy above the most stable polymorph in this dataset, the calculation gives 0.433 eV/atom. As for the crystal system: cubic.

Lattice parameters (Å, degrees): 7.2973 7.2973 7.2973 90.00 90.00 90.00
Space group Fm-3m (No. 225)
Unique sites:
1 Nb 0.0000 0.0000 0.0000
2 Tl 0.0000 0.0000 0.5000
3 Sn 0.2500 0.2500 0.2500

***

(3)
First-principles (PBE-GGA) data for a relaxed DyMnFeGe3 crystal, as listed in the Alexandria database.

Results
The calculation puts the total DFT energy (no corrections) at -6.145 eV per atom. Its formation energy is -130 meV/atom. As for the crystal system: orthorhombic.

Lattice parameters (Å, degrees): 7.4522 10.6061 5.6086 90.00 90.00 90.00
Space group Cmcm (No. 63)
Unique sites:
1 Dy 0.0000 0.2483 0.2500
2 Mn 0.0000 0.4555 0.7500
3 Fe 0.0000 0.0377 0.7500
4 Ge 0.0000 0.2462 0.7500
5 Ge 0.2496 0.0000 0.0000

***

(4)
First-principles (PBE-GGA) data for a relaxed PmGa3Ni3 crystal, as listed in the Alexandria database.

Results
The calculation puts the total DFT energy (no corrections) at -4.763 eV per atom. Its formation energy is -309 meV/atom. For the energy above the most stable polymorph in this dataset, the calculation gives 0.000 eV/atom. As for the crystal system: trigonal.

Lattice parameters (Å, degrees): 6.4566 6.4566 18.8396 90.00 90.00 120.00
Space group R-3 (No. 148, hexagonal axes)
Unique sites:
1 Pm 0.0000 0.0000 0.1578
2 Ga 0.0370 0.6082 0.3746
3 Ni 0.0109 0.7823 0.5750

***

(5)
First-principles (PBE-GGA) data for a relaxed RuPt2Se crystal, as listed in the Alexandria database.

Results
The calculation puts the total DFT energy (no corrections) at -5.882 eV per atom. The calculation puts the formation energy (no corrections) at 0.328 eV/atom. As for the crystal system: orthorhombic.

Lattice parameters (Å, degrees): 2.7989 4.8271 9.6361 90.00 90.00 90.00
Space group Cmm2 (No. 35)
Unique sites:
1 Ru 0.0000 0.0000 0.0000
2 Pt 0.0000 0.0000 0.4933
3 Pt 0.0000 0.5000 0.2405
4 Se 0.0000 0.5000 0.7803

***

(6)
First-principles (PBE-GGA) data for a relaxed POsN2 crystal, as listed in the Alexandria database.

Results
The calculation puts the total DFT energy (no corrections) at -8.198 eV per atom. The calculation puts the formation energy (no corrections) at 0.124 eV/atom. As for the crystal system: trigonal.

Lattice parameters (Å, degrees): 2.6946 2.6946 18.2594 90.00 90.00 120.00
Space group R-3m (No. 166, hexagonal axes)
Unique sites:
1 P 0.0000 0.0000 0.0000
2 Os 0.0000 0.0000 0.5000
3 N 0.0000 0.0000 0.3862

***

(7)
First-principles (PBE-GGA) data for a relaxed La8Zn2Pt crystal, as listed in the Alexandria database.

Results
The calculation puts the total DFT energy (no corrections) at -4.674 eV per atom. Its formation energy is -310 meV/atom. For the energy above the most stable polymorph in this dataset, the calculation gives 0.000 eV/atom. As for the crystal system: monoclinic.

Lattice parameters (Å, degrees): 18.7364 5.2857 6.9688 90.00 100.67 90.00
Space group C2/m (No. 12)
Unique sites:
1 La 0.0259 0.0000 0.2808
2 La 0.0900 0.5000 0.9393
3 La 0.1580 0.5000 0.4568
4 La 0.2024 0.0000 0.8119
5 Zn 0.1933 0.0000 0.2436
6 Pt 0.0000 0.5000 0.5000

***

(8)
First-principles (PBE-GGA) data for a relaxed Pr2HoTe4 crystal, as listed in the Alexandria database.

Results
The calculation puts the total DFT energy (no corrections) at -5.175 eV per atom. For the energy above the most stable polymorph in this dataset, the calculation gives 0.072 eV/atom. The calculation puts the formation energy (no corrections) at -1.361 eV/atom. As for the crystal system: orthorhombic.

Lattice parameters (Å, degrees): 4.2949 14.8882 15.3330 90.00 90.00 90.00
Space group Cmcm (No. 63)
Unique sites:
1 Pr 0.0000 0.1317 0.0716
2 Ho 0.0000 0.3713 0.2500
3 Te 0.0000 0.0211 0.2500
4 Te 0.0000 0.2166 0.6262
5 Te 0.0000 0.5000 0.0000

***

(9)
First-principles (PBE-GGA) data for a relaxed ZnAg2O4 crystal, as listed in the Alexandria database.

Results
The calculation puts the total DFT energy (no corrections) at -3.933 eV per atom. For the energy above the most stable polymorph in this dataset, the calculation gives 0.201 eV/atom. The calculation puts the formation energy (no corrections) at -0.103 eV/atom. As for the crystal system: orthorhombic.

Lattice parameters (Å, degrees): 5.5134 10.4614 3.0081 90.00 90.00 90.00
Space group Cmmm (No. 65)
Unique sites:
1 Zn 0.0000 0.0000 0.0000
2 Ag 0.0000 0.3404 0.5000
3 O 0.2379 0.0000 0.5000
4 O 0.2500 0.2500 0.0000

***

(10)
First-principles (PBE-GGA) data for a relaxed BaTc2W crystal, as listed in the Alexandria database.

Results
The calculation puts the total DFT energy (no corrections) at -8.152 eV per atom. Its formation energy is 750 meV/atom. For the energy above the most stable polymorph in this dataset, the calculation gives 0.159 eV/atom. As for the crystal system: monoclinic.

Lattice parameters (Å, degrees): 8.0655 3.1830 6.9743 90.00 97.18 90.00
Space group C2/m (No. 12)
Unique sites:
1 Ba 0.0000 0.0000 0.0000
2 Tc 0.2251 0.0000 0.6597
3 W 0.0000 0.5000 0.5000

***

(11)
First-principles (PBE-GGA) data for a relaxed V13Mo2 crystal, as listed in the Alexandria database.

Results
The calculation puts the total DFT energy (no corrections) at -8.618 eV per atom. Its formation energy is 729 meV/atom. As for the crystal system: trigonal.

Lattice parameters (Å, degrees): 6.6391 6.6391 19.7047 90.00 90.00 120.00
Space group R-3m (No. 166, hexagonal axes)
Unique sites:
1 V 0.0000 0.0000 0.0000
2 V 0.0714 0.5357 0.2919
3 V 0.0739 0.5369 0.4203
4 Mo 0.0000 0.0000 0.1322

***

(12)
First-principles (PBE-GGA) data for a relaxed Th3Tl2Ag4 crystal, as listed in the Alexandria database.

Results
The calculation puts the total DFT energy (no corrections) at -4.408 eV per atom. Its formation energy is -142 meV/atom. As for the crystal system: monoclinic.

Lattice parameters (Å, degrees): 11.0546 5.0017 9.3395 90.00 120.89 90.00
Space group C2/m (No. 12)
Unique sites:
1 Th 0.0000 0.0000 0.0000
2 Th 0.1639 0.5000 0.6727
3 Tl 0.1147 0.5000 0.2796
4 Ag 0.0656 0.0000 0.4040
5 Ag 0.2182 0.5000 0.0456